(1)
Material: Ho8BTe4Se3
Method: DFT, PBE
State: optimized geometry

Results
* E_form (uncorrected): -22.3 eV per formula unit
* SG: R-3m (166)
* density of states at the Fermi level: 0.401 states/eV/atom

The structure in POSCAR format:
```
Ho8BTe4Se3
1.0
-1.319 7.424 -3.347
-8.125 -0.377 2.366
5.892 -0.971 5.692
Ho B Te Se
8 1 4 3
Cartesian
-0.215 0.408 6.547
-3.434 0.940 3.438
0.444 1.320 2.754
-0.936 4.466 4.718
-2.616 1.611 -0.007
-3.996 4.756 1.957
-0.118 5.137 1.274
-3.337 5.668 -1.836
-4.062 -0.188 1.183
-0.659 3.712 -1.674
2.286 3.227 1.173
0.000 0.000 0.000
2.946 -0.485 2.846
-4.722 3.524 -0.491
-1.776 3.038 2.356
-1.116 -0.674 4.029
```

***

(2)
Material: Ac3TmSe4
Method: DFT, PBE
State: optimized geometry

Results
* E_form (uncorrected): -14.2 eV per formula unit
* SG: Cmmm (65)
* density of states at the Fermi level: 0.610 states/eV/atom

The structure in POSCAR format:
```
Ac3TmSe4
1.0
4.272 0.000 0.000
0.000 7.224 -2.395
0.000 0.005 7.611
Ac Tm Se
3 1 4
Cartesian
0.000 0.002 3.805
2.136 3.614 2.608
0.000 3.612 -1.197
2.136 0.000 0.000
0.000 1.616 1.166
2.136 5.520 -0.033
0.000 5.612 4.049
2.136 1.709 5.248
```

***

(3)
Material: Cs3RbV
Method: DFT, PBE
State: optimized geometry

Results
* energy of formation: 759 meV per atom
* SG: Pm-3m (221)
* density of states at the Fermi level: 0.823 states/eV/atom

The structure in POSCAR format:
```
Cs3RbV
1.0
7.050 0.000 0.000
0.000 7.050 0.000
0.000 0.000 7.050
Cs Rb V
3 1 1
Cartesian
0.000 3.525 0.000
0.000 0.000 3.525
3.525 0.000 0.000
3.525 3.525 3.525
0.000 0.000 0.000
```

***

(4)
Material: NdGd3Cu
Method: DFT, PBE
State: optimized geometry

Results
* energy of formation: 115 meV per atom
* SG: Pm-3m (221)
* density of states at the Fermi level: 1.630 states/eV/atom

The structure in POSCAR format:
```
NdGd3Cu
1.0
5.458 0.000 0.000
0.000 5.458 0.000
0.000 0.000 5.458
Gd Nd Cu
3 1 1
Cartesian
0.000 2.729 0.000
0.000 0.000 2.729
2.729 0.000 0.000
2.729 2.729 2.729
0.000 0.000 0.000
```

***

(5)
Material: Sm6Bi2Sb3Se
Method: DFT, PBE
State: optimized geometry

Results
* E_form (uncorrected): -14.4 eV per formula unit
* SG: C2/m (12)
* density of states at the Fermi level: 0.176 states/eV/atom

The structure in POSCAR format:
```
Sm6Bi2Sb3Se
1.0
4.459 0.000 0.000
0.000 8.916 0.331
-2.230 -2.555 9.352
Sm Bi Sb Se
6 2 3 1
Cartesian
0.000 6.508 6.615
2.230 4.388 3.278
2.230 -0.148 3.068
2.230 -0.360 9.385
0.000 6.720 0.298
0.000 1.973 6.405
2.230 4.250 6.476
0.000 2.110 3.207
2.230 4.458 0.165
2.230 -0.223 6.261
0.000 6.584 3.422
2.230 0.000 0.000
```

***

(6)
Material: Fe4Si3
Method: DFT, PBE
State: optimized geometry

Results
* E_form (uncorrected): 0.5 eV per formula unit
* offset from the most stable computed form: 0.347 eV per atom
* SG: P6/mmm (191)
* density of states at the Fermi level: 0.566 states/eV/atom

The structure in POSCAR format:
```
Fe4Si3
1.0
2.322 -4.022 0.000
2.322 4.022 0.000
0.000 0.000 4.409
Fe Si
4 3
Cartesian
0.000 0.000 1.114
0.000 0.000 3.296
2.322 -1.341 2.205
2.322 1.341 2.205
1.161 2.011 0.000
2.322 0.000 0.000
1.161 -2.011 0.000
```

***

(7)
Material: NiB3Cl
Method: DFT, PBE
State: optimized geometry

Results
* E_form (uncorrected): 11.8 eV per formula unit
* offset from the most stable computed form: 1.323 eV per atom
* SG: Pm-3m (221)
* density of states at the Fermi level: 0.403 states/eV/atom

The structure in POSCAR format:
```
NiB3Cl
1.0
-2.098 1.246 2.892
-0.295 -3.538 1.310
3.135 0.501 2.059
Ni B Cl
1 3 1
Cartesian
0.371 -0.895 3.130
-0.147 -1.769 0.655
1.567 0.251 1.029
-1.049 0.623 1.446
0.000 0.000 0.000
```

***

(8)
Material: YTlPb3
Method: DFT, PBE
State: optimized geometry

Results
* energy of formation: 296 meV per atom
* offset from the most stable computed form: 0.000 eV per atom
* SG: Pm-3m (221)
* density of states at the Fermi level: 0.683 states/eV/atom

The structure in POSCAR format:
```
YTlPb3
1.0
-2.263 5.201 1.644
-5.443 -2.267 -0.321
0.348 -1.639 5.663
Pb Y Tl
3 1 1
Cartesian
-2.722 -1.134 -0.161
0.174 -0.819 2.831
-1.132 2.600 0.822
0.000 0.000 0.000
-3.679 0.648 3.493
```

***

(9)
Material: Na2PuPdO6
Method: DFT, PBE
State: optimized geometry

Results
* E_form (uncorrected): -15.7 eV per formula unit
* SG: P4/mmm (123)
* density of states at the Fermi level: 0.541 states/eV/atom

The structure in POSCAR format:
```
Na2PuPdO6
1.0
4.190 0.000 0.000
0.000 5.688 0.000
0.000 0.000 5.688
Na Pu Pd O
2 1 1 6
Cartesian
0.605 2.844 0.000
0.605 0.000 2.844
2.701 2.844 2.844
2.701 0.000 0.000
2.701 1.439 1.439
2.701 1.439 4.249
0.606 2.844 2.844
0.606 0.000 0.000
2.701 4.249 4.249
2.701 4.249 1.439
```

***

(10)
Material: Na3DyF6
Method: DFT, PBE
State: optimized geometry

Results
* E_form (uncorrected): -32.5 eV per formula unit
* offset from the most stable computed form: 0.037 eV per atom
* SG: Pnnm (58)
* density of states at the Fermi level: 0.000 states/eV/atom

The structure in POSCAR format:
```
Na3DyF6
1.0
-2.966 -0.652 -2.537
2.713 -5.172 -1.843
-5.720 -5.925 8.207
Na Dy F
6 2 12
Cartesian
-3.175 -9.555 3.079
-0.126 -2.912 -2.190
-2.798 -2.194 0.748
0.155 -4.336 0.932
-2.860 -2.962 4.104
-6.128 -7.413 2.895
-2.986 -5.874 1.914
0.000 0.000 0.000
-6.408 -6.742 6.135
-4.365 -4.655 3.212
-2.037 -4.369 0.417
-3.935 -7.380 3.410
-1.607 -7.094 0.615
0.435 -5.007 -2.308
-1.602 -4.336 2.986
0.421 -2.212 0.076
-4.416 -5.096 6.470
-1.556 -6.653 -2.643
-6.393 -9.537 3.751
-4.370 -7.413 0.841
```

***

(11)
Material: SmHo4Er15
Method: DFT, PBE
State: optimized geometry

Results
* energy of formation: 545 meV per atom
* SG: P4/mmm (123)
* density of states at the Fermi level: 1.353 states/eV/atom

The structure in POSCAR format:
```
SmHo4Er15
1.0
5.489 0.000 0.000
0.000 5.489 0.000
0.000 0.000 22.720
Sm Ho Er
1 4 15
Cartesian
0.000 0.000 0.000
0.000 0.000 9.538
0.000 0.000 16.977
0.000 0.000 5.743
0.000 0.000 13.182
2.744 2.744 0.000
2.744 2.744 5.718
2.744 2.744 20.050
2.744 2.744 2.670
2.744 2.744 17.002
2.744 0.000 3.391
2.744 0.000 7.853
2.744 0.000 11.360
2.744 0.000 14.867
2.744 0.000 19.329
0.000 2.744 3.391
0.000 2.744 7.853
0.000 2.744 11.360
0.000 2.744 14.867
0.000 2.744 19.329
```

***

(12)
Material: PuTiRu
Method: DFT, PBE
State: optimized geometry

Results
* energy of formation: 72 meV per atom
* SG: Immm (71)
* density of states at the Fermi level: 2.018 states/eV/atom

The structure in POSCAR format:
```
PuTiRu
1.0
-1.547 -3.864 1.545
1.555 -4.321 -2.872
2.350 -1.655 4.592
Pu Ti Ru
2 2 2
Cartesian
1.687 -3.881 -1.639
2.219 -2.095 3.359
1.045 -5.370 0.371
1.313 -4.470 2.893
1.730 -7.365 2.447
0.628 -2.475 0.817
```